Record 1
FeReMo2Rh: optimized geometry, PBE.

Computed properties:
As for the excess energy over the best structure of this formula in the dataset: 339 kJ/mol of formula units. The energy of formation from the pure elements comes out at 1.90 eV/atom. As for the mass density: 9526 kg/m³. The density of states at the Fermi level is 1.348 states/eV per atom. The total magnetic moment is 2.03 Bohr magnetons per cell.

a b c (Å): 4.6069 4.6069 4.4091
angles (deg): 90.00 90.00 90.00
Last column: nearest neighbours and their distance in Å.
Fractional positions:
Fe: 0.0000 0.0000 0.0000  2 Rh 2.20
Re: 0.5000 0.5000 0.0000  8 Mo 3.19, 4 Fe 3.26
Mo: 0.0000 0.5000 0.5000  2 Rh 2.30
Mo: 0.5000 0.0000 0.5000  2 Rh 2.30
Rh: 0.0000 0.0000 0.5000  2 Fe 2.20, 4 Mo 2.30



Record 2
K2ZnGe2O6: optimized geometry, PBE.

Computed properties:
For the uncorrected formation energy, the calculation gives -1.74 eV per atom. As for the mass density: 3587 kg/m³. The density of states at the Fermi level is 0.000 states/eV per atom. The total magnetic moment is 0.00 Bohr magnetons per cell.

a b c (Å): 5.9578 5.9578 10.9479
angles (deg): 90.00 90.00 113.50
Last column: nearest neighbours and their distance in Å.
Fractional positions:
K: 0.0689 0.7220 0.5777  4 O 2.73-2.96
K: 0.2780 0.9311 0.9223  4 O 2.73-2.96
K: 0.7220 0.0689 0.4223  4 O 2.73-2.96
K: 0.9311 0.2780 0.0777  4 O 2.73-2.96
Zn: 0.2039 0.7961 0.2500  4 O 1.98-2.00
Zn: 0.7961 0.2039 0.7500  4 O 1.98-2.00
Ge: 0.3327 0.3481 0.3597  4 O 1.75-1.83
Ge: 0.3481 0.3327 0.6403  4 O 1.75-1.83
Ge: 0.6519 0.6673 0.1403  4 O 1.75-1.83
Ge: 0.6673 0.6519 0.8597  4 O 1.75-1.83
O: 0.0294 0.2167 0.6188  1 Ge 1.76
O: 0.1129 0.4605 0.3199  1 Ge 1.75
O: 0.2167 0.0294 0.3812  1 Ge 1.76
O: 0.4240 0.5760 0.7500  2 Ge 1.80
O: 0.4605 0.1129 0.6801  1 Ge 1.75
O: 0.4916 0.4916 0.5000  2 Ge 1.83
O: 0.5084 0.5084 0.0000  2 Ge 1.83
O: 0.5395 0.8871 0.1801  1 Ge 1.75
O: 0.5760 0.4240 0.2500  2 Ge 1.80
O: 0.7833 0.9706 0.8812  1 Ge 1.76
O: 0.8871 0.5395 0.8199  1 Ge 1.75
O: 0.9706 0.7833 0.1188  1 Ge 1.76



Record 3
LiAcMgGa: optimized geometry, PBE.

Computed properties:
The energy of formation from the pure elements comes out at -0.24 eV/atom. As for the mass density: 5433 kg/m³. The density of states at the Fermi level is 0.629 states/eV per atom. The total magnetic moment is 0.00 Bohr magnetons per cell.

a b c (Å): 5.2142 5.2142 5.2142
angles (deg): 60.00 60.00 60.00
Last column: nearest neighbours and their distance in Å.
Fractional positions:
Li: 0.0000 0.0000 0.0000  4 Ac 3.19, 4 Mg 3.19
Ac: 0.2500 0.2500 0.2500  4 Li 3.19, 4 Ga 3.19
Mg: 0.7500 0.7500 0.7500  4 Li 3.19, 4 Ga 3.19
Ga: 0.5000 0.5000 0.5000  4 Ac 3.19, 4 Mg 3.19



Record 4
HfMn2RhPb: optimized geometry, PBE.

Computed properties:
The energy of formation from the pure elements comes out at 0.95 eV/atom. As for the mass density: 8617 kg/m³. The density of states at the Fermi level is 0.731 states/eV per atom. The total magnetic moment is 6.44 Bohr magnetons per cell.

a b c (Å): 4.9150 4.9150 4.7739
angles (deg): 90.00 90.00 90.00
Last column: nearest neighbours and their distance in Å.
Fractional positions:
Hf: 0.0000 0.0000 0.0000  2 Rh 2.39, 4 Mn 2.46
Mn: 0.0000 0.5000 0.0000  2 Hf 2.46
Mn: 0.5000 0.0000 0.0000  2 Hf 2.46
Rh: 0.0000 0.0000 0.5000  2 Hf 2.39
Pb: 0.5000 0.5000 0.5000  8 Mn 3.43, 4 Rh 3.48



Record 5
CaCoRh2: optimized geometry, PBE.

Computed properties:
As for the excess energy over the best structure of this formula in the dataset: 26 kJ/mol of formula units. The energy of formation from the pure elements comes out at 0.08 eV/atom. As for the mass density: 8010 kg/m³. The density of states at the Fermi level is 0.966 states/eV per atom. The total magnetic moment is 2.32 Bohr magnetons per cell.

a b c (Å): 5.3849 5.3849 4.7829
angles (deg): 115.91 115.91 30.74
Last column: nearest neighbours and their distance in Å.
Fractional positions:
Ca: 0.0000 0.0000 0.0000  7 Rh 2.72-2.94, 3 Co 2.77-2.93, 2 Ca 2.85
Co: 0.2314 0.2314 0.8598  6 Rh 2.63-2.83, 3 Ca 2.77-2.93, 2 Co 2.85
Rh: 0.5061 0.5061 0.4902  2 Co 2.63, 5 Rh 2.71-2.94, 4 Ca 2.72-2.85
Rh: 0.7684 0.7684 0.4019  5 Rh 2.71-2.94, 3 Ca 2.78-2.94, 4 Co 2.78-2.83



Record 6
K3CdS: optimized geometry, PBE.

Computed properties:
For the uncorrected formation energy, the calculation gives -0.51 eV per atom. As for the excess energy over the best structure of this formula in the dataset: 0 kJ/mol of formula units. As for the mass density: 1899 kg/m³. The density of states at the Fermi level is 0.961 states/eV per atom. The total magnetic moment is 0.00 Bohr magnetons per cell.

a b c (Å): 6.1176 6.1176 6.1176
angles (deg): 90.00 90.00 90.00
Last column: nearest neighbours and their distance in Å.
Fractional positions:
K: 0.0000 0.0000 0.5000  2 S 3.06
K: 0.0000 0.5000 0.0000  2 S 3.06
K: 0.5000 0.0000 0.0000  2 S 3.06
Cd: 0.5000 0.5000 0.5000  12 K 4.33
S: 0.0000 0.0000 0.0000  6 K 3.06